[1]
Rb3Y3VS8 after structural relaxation, computed with GGA-PBE.

Output
The density of states at the Fermi level is 19.74 states/eV/cell. Its raw formation energy is -1585.9 meV/atom.

Unit cell a=7.8540 b=7.8540 c=23.5207 alpha=90.00 beta=90.00 gamma=120.00
Space group R-3m (No. 166, hexagonal axes)
Symmetry-distinct sites (fractional):
Rb  0.0000  0.5000  0.0000 [9 per cell]
Y  0.0000  0.5000  0.5000 [9 per cell]
V  0.0000  0.0000  0.5000 [3 per cell]
S  0.0000  0.0000  0.2313 [6 per cell]
S  0.0317  0.5158  0.2259 [18 per cell]

[2]
RbW3S after structural relaxation, computed with GGA-PBE.

Output
The density of states at the Fermi level is 8.51 states/eV/cell. Its energy relative to the lowest polymorph listed for this composition is 2.557 eV per atom. Its raw formation energy is 4283.4 meV/atom.

Unit cell a=4.751 b=4.751 c=4.751 alpha=90.00 beta=90.00 gamma=90.00
Space group Pm-3m (No. 221)
Symmetry-distinct sites (fractional):
Rb  0.000  0.000  0.000 [1 per cell]
W  0.000  0.000  0.500 [3 per cell]
S  0.500  0.500  0.500 [1 per cell]

[3]
RbWS4 after structural relaxation, computed with GGA-PBE.

Output
The density of states at the Fermi level is 0.12 states/eV/cell. Its raw formation energy is -526.9 meV/atom.

Unit cell a=13.867 b=7.235 c=6.490 alpha=90.00 beta=95.75 gamma=90.00
Space group C2/m (No. 12)
Symmetry-distinct sites (fractional):
Rb  0.191  0.000  0.171 [4 per cell]
W  0.033  0.500  0.294 [4 per cell]
S  0.000  0.293  0.000 [4 per cell]
S  0.072  0.254  0.556 [8 per cell]
S  0.200  0.500  0.286 [4 per cell]

no.,DFT total energy (eV per formula unit)
1,-88.22
2,-22.54
3,-33.59